w) DFT (SCAN) results for a crystal of Ba2SrLi relaxed with PBEsol.

**Space group**: P4mm

Unit cell a=4.2905 b=4.2905 c=10.4222 alpha=90.00 beta=90.00 gamma=90.00
Element x y z (fractional)
1 Ba 0.0000 0.0000 0.0000
2 Ba 0.5000 0.5000 0.3110
3 Sr 0.5000 0.5000 0.7054
4 Li 0.0000 0.0000 0.5189

x) DFT (SCAN) results for a crystal of Ba2SrLi relaxed with PBEsol.

**Space group**: Imm2

Unit cell a=4.4416 b=6.6200 c=13.1165 alpha=90.00 beta=90.00 gamma=90.00
Element x y z (fractional)
1 Ba 0.0000 0.0000 0.0000
2 Ba 0.0000 0.5000 0.2102
3 Ba 0.5000 0.0000 0.7102
4 Ba 0.5000 0.5000 0.5000
5 Sr 0.0000 0.0000 0.4245
6 Sr 0.5000 0.5000 0.9245
7 Li 0.0000 0.5000 0.7165
8 Li 0.5000 0.0000 0.2165

So which one is most stable? That would be w), about 1.7 kJ/mol of atoms below the next structure.

w) DFT (SCAN) results for a crystal of Ba2SrLi relaxed with PBEsol.

**Space group**: Fm-3m

Unit cell a=9.2921 b=9.2921 c=9.2921 alpha=90.00 beta=90.00 gamma=90.00
Element x y z (fractional)
1 Ba 0.2500 0.2500 0.2500
2 Ba 0.2500 0.2500 0.7500
3 Ba 0.2500 0.7500 0.2500
4 Ba 0.2500 0.7500 0.7500
5 Ba 0.7500 0.2500 0.2500
6 Ba 0.7500 0.2500 0.7500
7 Ba 0.7500 0.7500 0.2500
8 Ba 0.7500 0.7500 0.7500
9 Sr 0.0000 0.0000 0.0000
10 Sr 0.0000 0.5000 0.5000
11 Sr 0.5000 0.0000 0.5000
12 Sr 0.5000 0.5000 0.0000
13 Li 0.0000 0.0000 0.5000
14 Li 0.0000 0.5000 0.0000
15 Li 0.5000 0.0000 0.0000
16 Li 0.5000 0.5000 0.5000

x) DFT (SCAN) results for a crystal of Ba2SrLi relaxed with PBEsol.

**Space group**: Cmmm

Unit cell a=9.2078 b=9.3299 c=4.6570 alpha=90.00 beta=90.00 gamma=90.00
Element x y z (fractional)
1 Ba 0.2500 0.2500 0.0000
2 Ba 0.2500 0.7500 0.0000
3 Ba 0.7500 0.2500 0.0000
4 Ba 0.7500 0.7500 0.0000
5 Sr 0.0000 0.0000 0.5000
6 Sr 0.5000 0.5000 0.5000
7 Li 0.0000 0.5000 0.5000
8 Li 0.5000 0.0000 0.5000

y) DFT (SCAN) results for a crystal of Ba2SrLi relaxed with PBEsol.

**Space group**: Pmmm

Unit cell a=4.7689 b=6.3259 c=6.3771 alpha=90.00 beta=90.00 gamma=90.00
Element x y z (fractional)
1 Ba 0.0000 0.0000 0.0000
2 Ba 0.5000 0.0000 0.5000
3 Sr 0.0000 0.5000 0.5000
4 Li 0.5000 0.5000 0.0000

So which one is most stable? That would be x), about 0.9 kJ/mol of atoms below the next structure.

w) DFT (SCAN) results for a crystal of BaLiTa2 relaxed with PBEsol.

**Space group**: P4/mmm

Unit cell a=4.0393 b=4.0393 c=5.3062 alpha=90.00 beta=90.00 gamma=90.00
Element x y z (fractional)
1 Ba 0.0000 0.0000 0.0000
2 Li 0.5000 0.5000 0.0000
3 Ta 0.0000 0.5000 0.5000
4 Ta 0.5000 0.0000 0.5000

x) DFT (SCAN) results for a crystal of BaLiTa2 relaxed with PBEsol.

**Space group**: Cmm2

Unit cell a=3.4542 b=4.9919 c=10.5339 alpha=90.00 beta=90.00 gamma=90.00
Element x y z (fractional)
1 Ba 0.0000 0.0000 0.0000
2 Ba 0.5000 0.5000 0.0000
3 Li 0.0000 0.5000 0.6989
4 Li 0.5000 0.0000 0.6989
5 Ta 0.0000 0.0000 0.4763
6 Ta 0.0000 0.5000 0.2837
7 Ta 0.5000 0.0000 0.2837
8 Ta 0.5000 0.5000 0.4763

So which one is most stable? That would be x), about 45.6 kJ/mol of atoms below the next structure.

w) DFT (SCAN) results for a crystal of BaLi2Ta relaxed with PBEsol.

**Space group**: C2/m

Unit cell a=6.4194 b=9.7870 c=2.9015 alpha=90.00 beta=100.95 gamma=90.00
Element x y z (fractional)
1 Ba 0.0000 0.0000 0.0000
2 Ba 0.5000 0.5000 0.0000
3 Li 0.2500 0.2500 0.5000
4 Li 0.2500 0.7500 0.5000
5 Li 0.7500 0.2500 0.5000
6 Li 0.7500 0.7500 0.5000
7 Ta 0.0000 0.5000 0.0000
8 Ta 0.5000 0.0000 0.0000

x) DFT (SCAN) results for a crystal of BaLi2Ta relaxed with PBEsol.

**Space group**: C2/m

Unit cell a=10.3922 b=2.9378 c=6.2111 alpha=90.00 beta=94.13 gamma=90.00
Element x y z (fractional)
1 Ba 0.0000 0.0000 0.0000
2 Ba 0.5000 0.5000 0.0000
3 Li 0.2408 0.0000 0.6858
4 Li 0.2592 0.5000 0.3142
5 Li 0.7408 0.5000 0.6858
6 Li 0.7592 0.0000 0.3142
7 Ta 0.0000 0.5000 0.5000
8 Ta 0.5000 0.0000 0.5000

So which one is most stable? That would be x), about 4.0 kJ/mol of atoms below the next structure.

w) DFT (SCAN) results for a crystal of BaLiTc relaxed with PBEsol.

**Space group**: P3m1

Unit cell a=5.0653 b=5.0653 c=2.9064 alpha=90.00 beta=90.00 gamma=120.00
Element x y z (fractional)
1 Ba 0.0000 0.0000 0.0000
2 Li 0.3333 0.6667 0.3560
3 Tc 0.6667 0.3333 0.5517

x) DFT (SCAN) results for a crystal of BaLiTc relaxed with PBEsol.

**Space group**: Imm2

Unit cell a=2.9908 b=3.9779 c=10.9339 alpha=90.00 beta=90.00 gamma=90.00
Element x y z (fractional)
1 Ba 0.0000 0.0000 0.0000
2 Ba 0.5000 0.5000 0.5000
3 Li 0.0000 0.0000 0.7137
4 Li 0.5000 0.5000 0.2137
5 Tc 0.0000 0.0000 0.3035
6 Tc 0.5000 0.5000 0.8035

y) DFT (SCAN) results for a crystal of BaLiTc relaxed with PBEsol.

**Space group**: F-43m

Unit cell a=6.8986 b=6.8986 c=6.8986 alpha=90.00 beta=90.00 gamma=90.00
Element x y z (fractional)
1 Ba 0.0000 0.0000 0.0000
2 Ba 0.0000 0.5000 0.5000
3 Ba 0.5000 0.0000 0.5000
4 Ba 0.5000 0.5000 0.0000
5 Li 0.2500 0.2500 0.2500
6 Li 0.2500 0.7500 0.7500
7 Li 0.7500 0.2500 0.7500
8 Li 0.7500 0.7500 0.2500
9 Tc 0.2500 0.2500 0.7500
10 Tc 0.2500 0.7500 0.2500
11 Tc 0.7500 0.2500 0.2500
12 Tc 0.7500 0.7500 0.7500

So which one is most stable? That would be x), about 5.8 kJ/mol of atoms below the next structure.

w) DFT (SCAN) results for a crystal of BaLiTl relaxed with PBEsol.

**Space group**: I4mm

Unit cell a=3.9617 b=3.9617 c=11.9233 alpha=90.00 beta=90.00 gamma=90.00
Element x y z (fractional)
1 Ba 0.0000 0.0000 0.0000
2 Ba 0.5000 0.5000 0.5000
3 Li 0.0000 0.0000 0.7123
4 Li 0.5000 0.5000 0.2123
5 Tl 0.0000 0.0000 0.3063
6 Tl 0.5000 0.5000 0.8063

x) DFT (SCAN) results for a crystal of BaLiTl relaxed with PBEsol.

**Space group**: P-6m2

Unit cell a=5.3045 b=5.3045 c=3.8295 alpha=90.00 beta=90.00 gamma=120.00
Element x y z (fractional)
1 Ba 0.0000 0.0000 0.0000
2 Li 0.3333 0.6667 0.5000
3 Tl 0.6667 0.3333 0.5000

So which one is most stable? That would be x), about 2.5 kJ/mol of atoms below the next structure.